[1]
# GGA-PBE Ac3Mg4Ir4, relaxed
# E above lowest polymorph in meV/atom: 246
# E_form in kJ per mole of atoms: -23
# Crystal system: cubic
# Calculated volume in Å³/cell: 529.73
data_Ac3Mg4Ir4
_chemical_formula_sum 'Ac6 Mg8 Ir8'
_symmetry_space_group_name_H-M 'I -4 3 m'
_symmetry_Int_Tables_number 217
_symmetry_space_group_name_Hall 'I -4 2 3'
_cell_length_a 8.091
_cell_length_b 8.091
_cell_length_c 8.091
_cell_angle_alpha 90.00
_cell_angle_beta 90.00
_cell_angle_gamma 90.00
loop_
_atom_site_label
_atom_site_type_symbol
_atom_site_fract_x
_atom_site_fract_y
_atom_site_fract_z
Ac1 Ac 0.000 0.000 0.500
Mg1 Mg 0.130 0.130 0.870
Ir1 Ir 0.188 0.188 0.188

[2]
# GGA-PBE BaLi2Cu2, relaxed
# E above lowest polymorph in meV/atom: 0
# E_form in kJ per mole of atoms: 1
# Crystal system: tetragonal
# Calculated volume in Å³/cell: 225.94
data_BaLi2Cu2
_chemical_formula_sum 'Ba2 Li4 Cu4'
_symmetry_space_group_name_H-M 'I 4/m m m'
_symmetry_Int_Tables_number 139
_symmetry_space_group_name_Hall '-I 4 2'
_cell_length_a 4.375
_cell_length_b 4.375
_cell_length_c 11.804
_cell_angle_alpha 90.00
_cell_angle_beta 90.00
_cell_angle_gamma 90.00
loop_
_atom_site_label
_atom_site_type_symbol
_atom_site_fract_x
_atom_site_fract_y
_atom_site_fract_z
Ba1 Ba 0.000 0.000 0.000
Li1 Li 0.000 0.500 0.250
Cu1 Cu 0.000 0.000 0.393

[3]
# GGA-PBE MgPb2Se2, relaxed
# Calculated total energy in eV per atom: -3.61
# Crystal system: tetragonal
# Calculated volume in Å³/cell: 270.10
data_MgPb2Se2
_chemical_formula_sum 'Mg2 Pb4 Se4'
_symmetry_space_group_name_H-M 'P 4/m b m'
_symmetry_Int_Tables_number 127
_symmetry_space_group_name_Hall '-P 4 2ab'
_cell_length_a 7.320
_cell_length_b 7.320
_cell_length_c 5.040
_cell_angle_alpha 90.00
_cell_angle_beta 90.00
_cell_angle_gamma 90.00
loop_
_atom_site_label
_atom_site_type_symbol
_atom_site_fract_x
_atom_site_fract_y
_atom_site_fract_z
Mg1 Mg 0.000 0.000 0.000
Pb1 Pb 0.165 0.335 0.500
Se1 Se 0.179 0.679 0.000

[4]
# GGA-PBE KRe3, relaxed
# E above lowest polymorph in meV/atom: 797
# E_form in kJ per mole of atoms: 147
# Crystal system: trigonal
# Calculated volume in Å³/cell: 203.24
data_KRe3
_chemical_formula_sum 'K3 Re9'
_symmetry_space_group_name_H-M 'R -3 m'
_symmetry_Int_Tables_number 166
_symmetry_space_group_name_Hall '-R 3 2"'
_cell_length_a 9.4425
_cell_length_b 9.4425
_cell_length_c 2.6320
_cell_angle_alpha 90.00
_cell_angle_beta 90.00
_cell_angle_gamma 120.00
loop_
_atom_site_label
_atom_site_type_symbol
_atom_site_fract_x
_atom_site_fract_y
_atom_site_fract_z
K1 K 0.0000 0.0000 0.0000
Re1 Re 0.0000 0.5000 0.0000

[5]
# GGA-PBE Mg2CN, relaxed
# E above lowest polymorph in meV/atom: 21
# Crystal system: monoclinic
# Calculated volume in Å³/cell: 214.51
data_Mg2CN
_chemical_formula_sum 'Mg8 C4 N4'
_symmetry_space_group_name_H-M 'C 1 m 1'
_symmetry_Int_Tables_number 8
_cell_length_a 11.724
_cell_length_b 3.271
_cell_length_c 6.560
_cell_angle_alpha 90.00
_cell_angle_beta 121.50
_cell_angle_gamma 90.00
loop_
_symmetry_equiv_pos_as_xyz
'x,y,z'
'x,-y,z'
'x+1/2,y+1/2,z'
'x+1/2,-y+1/2,z'
loop_
_atom_site_label
_atom_site_type_symbol
_atom_site_fract_x
_atom_site_fract_y
_atom_site_fract_z
Mg1 Mg 0.000 0.000 0.000
Mg2 Mg 0.016 0.500 0.359
Mg3 Mg 0.266 0.000 0.916
Mg4 Mg 0.287 0.500 0.370
C1 C 0.007 0.500 0.723
C2 C 0.391 0.000 0.706
N1 N 0.119 0.500 0.731
N2 N 0.390 0.500 0.177

[6]
# GGA-PBE MgZrRe2, relaxed
# E_form in kJ per mole of atoms: 33
# Crystal system: orthorhombic
# Calculated volume in Å³/cell: 138.27
data_MgZrRe2
_chemical_formula_sum 'Mg2 Zr2 Re4'
_symmetry_space_group_name_H-M 'C m m m'
_symmetry_Int_Tables_number 65
_symmetry_space_group_name_Hall '-C 2 2'
_cell_length_a 5.700
_cell_length_b 9.140
_cell_length_c 2.654
_cell_angle_alpha 90.00
_cell_angle_beta 90.00
_cell_angle_gamma 90.00
loop_
_atom_site_label
_atom_site_type_symbol
_atom_site_fract_x
_atom_site_fract_y
_atom_site_fract_z
Mg1 Mg 0.000 0.000 0.000
Zr1 Zr 0.000 0.500 0.000
Re1 Re 0.250 0.250 0.500

> calculated volume of number 1 (Ac3Mg4Ir4)?

529.73 Å³/cell

> What is the calculated volume in the sixth record?

138.27 Å³/cell

> Number 5 is which compound?

Mg2CN

> Look up the calculated volume of the fourth one.

203.24 Å³/cell